SrBeW2 | Alexandria | GGA-PBE | relaxed; volume = 24.964 A^3/atom; size of the total moment = 0.00 Bohr magnetons per cell; energy of formation = 1.405 eV per atom; symmetry = I-42d, No. 122
1.0
4.7585 0.0000 0.0000
0.0000 4.7585 0.0000
2.3793 2.3793 8.8199
Be Sr W
2 2 4
Direct
0.2500 0.7500 0.5000 Be
0.5000 0.5000 0.0000 Be
0.7500 0.2500 0.5000 Sr
0.0000 0.0000 0.0000 Sr
0.3925 0.1250 0.2500 W
0.3750 0.6075 0.7500 W
0.3575 0.6250 0.2500 W
0.8750 0.6425 0.7500 W